CrNiHIr: relaxed, PBE.

Summary:
As for the distance to the lowest polymorph of the same formula: 0.335 eV per formula unit. The size of the total moment is 0.1628 μB/atom.

Geometry as CIF:
```
data_CrNiHIr
_chemical_formula_sum 'Cr2 Ni2 H2 Ir2'
_space_group_name_H-M_alt 'C 1 m 1'
_space_group_IT_number 8
_cell_length_a 8.8845
_cell_length_b 2.7205
_cell_length_c 3.6686
_cell_angle_alpha 90.00
_cell_angle_beta 114.16
_cell_angle_gamma 90.00
loop_
_space_group_symop_operation_xyz
'x,y,z'
'x,-y,z'
'x+1/2,y+1/2,z'
'x+1/2,-y+1/2,z'
loop_
_atom_site_label
_atom_site_fract_x
_atom_site_fract_y
_atom_site_fract_z
Cr1 0.0000 0.0000 0.0000
Ni1 0.3261 0.0000 0.2853
H1 0.3248 0.5000 0.5379
Ir1 0.1437 0.5000 0.6427
```